# 1
A plane-wave DFT calculation with meta-GGA SCAN was carried out for a crystal of CrAgBr2 relaxed with PBEsol.

D(E_F) = 0.43 states/eV per atom
energy above the lowest structure with this stoichiometry = 0 meV/atom

Cell lengths 3.685, 3.685, 6.690 Å; angles 90.00, 90.00, 90.00 degrees
Atoms (fractional coordinates):
1 Br 0.500 0.500 0.334
2 Br 0.000 0.000 0.907
3 Cr 0.000 0.000 0.521
4 Ag 0.500 0.500 0.738

# 2
A plane-wave DFT calculation with meta-GGA SCAN was carried out for a crystal of Ca2MgPb relaxed with PBEsol.

energy relative to the elements = -0.492 eV per atom
D(E_F) = 0.33 states/eV per atom

Cell lengths 4.295, 5.148, 5.148 Å; angles 89.94, 90.00, 90.00 degrees
Atoms (fractional coordinates):
1 Pb 0.500 0.000 0.000
2 Ca 0.000 0.000 0.500
3 Ca 0.000 0.500 0.000
4 Mg 0.500 0.500 0.500

# 3
A plane-wave DFT calculation with meta-GGA SCAN was carried out for a crystal of NbBiIr2 relaxed with PBEsol.

energy relative to the elements = 0.488 eV per atom
D(E_F) = 0.51 states/eV per atom

Cell lengths 5.947, 5.947, 7.109 Å; angles 114.73, 114.73, 90.00 degrees
Atoms (fractional coordinates):
1 Ir 0.625 0.601 0.750
2 Ir 0.851 0.375 0.250
3 Ir 0.125 0.149 0.750
4 Ir 0.399 0.875 0.250
5 Nb 0.750 0.250 0.500
6 Nb 0.500 0.500 0.000
7 Bi 0.250 0.750 0.500
8 Bi 0.000 0.000 0.000

# 4
A plane-wave DFT calculation with meta-GGA SCAN was carried out for a crystal of BaIn2Co relaxed with PBEsol.

energy relative to the elements = 0.109 eV per atom
D(E_F) = 0.43 states/eV per atom

Cell lengths 5.168, 5.168, 5.168 Å; angles 60.00, 60.00, 60.00 degrees
Atoms (fractional coordinates):
1 In 0.750 0.750 0.750
2 In 0.000 0.000 0.000
3 Co 0.250 0.250 0.250
4 Ba 0.500 0.500 0.500

# 5
A plane-wave DFT calculation with meta-GGA SCAN was carried out for a crystal of GeSbTe2Ir relaxed with PBEsol.

D(E_F) = 0.80 states/eV per atom
energy above the lowest structure with this stoichiometry = 866 meV/atom

Cell lengths 5.113, 5.113, 5.046 Å; angles 90.00, 90.00, 90.00 degrees
Atoms (fractional coordinates):
1 Ir 0.500 0.500 0.500
2 Te 0.000 0.500 0.000
3 Te 0.500 0.000 0.000
4 Sb 0.000 0.000 0.500
5 Ge 0.000 0.000 0.000

# 6
A plane-wave DFT calculation with meta-GGA SCAN was carried out for a crystal of ScMo2Ir relaxed with PBEsol.

energy relative to the elements = -0.039 eV per atom
D(E_F) = 0.77 states/eV per atom
energy above the lowest structure with this stoichiometry = 148 meV/atom

Cell lengths 2.770, 5.134, 5.134 Å; angles 119.98, 90.00, 90.00 degrees
Atoms (fractional coordinates):
1 Mo 0.000 0.500 0.000
2 Mo 0.000 0.000 0.500
3 Sc 0.500 0.000 0.000
4 Ir 0.500 0.500 0.500

# 7
A plane-wave DFT calculation with meta-GGA SCAN was carried out for a crystal of H2Ir2Ru relaxed with PBEsol.

energy = -181.81 eV per cell
D(E_F) = 0.64 states/eV per atom

Cell lengths 3.436, 3.436, 4.735 Å; angles 111.28, 111.28, 90.00 degrees
Atoms (fractional coordinates):
1 Ru 0.000 0.000 0.000
2 H 0.750 0.250 0.500
3 H 0.250 0.750 0.500
4 Ir 0.340 0.340 0.681
5 Ir 0.660 0.660 0.319

# 8
A plane-wave DFT calculation with meta-GGA SCAN was carried out for a crystal of RbLiNF2 relaxed with PBEsol.

energy = -46.02 eV per cell
D(E_F) = 0.00 states/eV per atom

Cell lengths 4.109, 4.109, 4.140 Å; angles 90.00, 90.00, 90.00 degrees
Atoms (fractional coordinates):
1 N 0.000 0.000 0.500
2 Li 0.000 0.000 0.000
3 Rb 0.500 0.500 0.500
4 F 0.000 0.500 0.000
5 F 0.500 0.000 0.000

# 9
A plane-wave DFT calculation with meta-GGA SCAN was carried out for a crystal of Ta2RhCl relaxed with PBEsol.

D(E_F) = 0.69 states/eV per atom
energy above the lowest structure with this stoichiometry = 44 meV/atom

Cell lengths 2.846, 3.692, 6.240 Å; angles 90.00, 90.12, 90.00 degrees
Atoms (fractional coordinates):
1 Rh 0.000 0.500 0.500
2 Ta 0.499 0.000 0.264
3 Ta 0.501 0.000 0.736
4 Cl 0.500 0.500 0.000

# 10
A plane-wave DFT calculation with meta-GGA SCAN was carried out for a crystal of Tl3Cd5 relaxed with PBEsol.

energy relative to the elements = 0.092 eV per atom
D(E_F) = 0.36 states/eV per atom
energy above the lowest structure with this stoichiometry = 6 meV/atom

Cell lengths 5.591, 8.461, 9.356 Å; angles 84.34, 72.62, 70.73 degrees
Atoms (fractional coordinates):
1 Cd 0.250 0.190 0.291
2 Cd 0.952 0.283 0.821
3 Cd 0.748 0.002 0.000
4 Cd 0.773 0.283 0.179
5 Cd 0.227 0.717 0.821
6 Cd 0.541 0.190 0.709
7 Cd 0.252 0.998 0.000
8 Cd 0.459 0.810 0.291
9 Cd 0.750 0.810 0.709
10 Cd 0.048 0.717 0.179
11 Tl 0.712 0.500 0.576
12 Tl 0.691 0.615 0.000
13 Tl 0.309 0.385 0.000
14 Tl 0.288 0.500 0.424
15 Tl 0.200 0.000 0.599
16 Tl 0.800 0.000 0.401

# 11
A plane-wave DFT calculation with meta-GGA SCAN was carried out for a crystal of MgIrRh2 relaxed with PBEsol.

energy relative to the elements = -0.181 eV per atom
D(E_F) = 0.83 states/eV per atom

Cell lengths 2.729, 3.845, 5.414 Å; angles 90.00, 90.00, 90.00 degrees
Atoms (fractional coordinates):
1 Mg 0.500 0.500 0.755
2 Ir 0.000 0.000 0.488
3 Rh 0.500 0.500 0.256
4 Rh 0.000 0.000 0.001

# 12
A plane-wave DFT calculation with meta-GGA SCAN was carried out for a crystal of Ag3OsI relaxed with PBEsol.

energy = -196.00 eV per cell
D(E_F) = 0.35 states/eV per atom

Cell lengths 5.045, 5.045, 5.045 Å; angles 90.00, 90.00, 90.00 degrees
Atoms (fractional coordinates):
1 I 0.500 0.500 0.500
2 Ag 0.000 0.500 0.000
3 Ag 0.500 0.000 0.000
4 Ag 0.000 0.000 0.500
5 Os 0.000 0.000 0.000

# 13
A plane-wave DFT calculation with meta-GGA SCAN was carried out for a crystal of ZnSbTe2Cl relaxed with PBEsol.

energy = -128.53 eV per cell
D(E_F) = 1.24 states/eV per atom

Cell lengths 5.325, 5.263, 5.263 Å; angles 90.00, 90.00, 90.00 degrees
Atoms (fractional coordinates):
1 Te 0.000 0.500 0.000
2 Te 0.000 0.000 0.500
3 Sb 0.500 0.000 0.000
4 Cl 0.000 0.000 0.000
5 Zn 0.500 0.500 0.500

# 14
A plane-wave DFT calculation with meta-GGA SCAN was carried out for a crystal of Li3CaSi relaxed with PBEsol.

energy = -27.22 eV per cell
D(E_F) = 0.30 states/eV per atom

Cell lengths 4.767, 4.767, 4.767 Å; angles 90.00, 90.00, 90.00 degrees
Atoms (fractional coordinates):
1 Li 0.000 0.500 0.000
2 Li 0.000 0.000 0.500
3 Li 0.500 0.000 0.000
4 Ca 0.500 0.500 0.500
5 Si 0.000 0.000 0.000

# 15
A plane-wave DFT calculation with meta-GGA SCAN was carried out for a crystal of Be2FeAg relaxed with PBEsol.

energy relative to the elements = 0.123 eV per atom
D(E_F) = 0.38 states/eV per atom

Cell lengths 2.554, 4.113, 4.472 Å; angles 106.69, 106.59, 90.00 degrees
Atoms (fractional coordinates):
1 Fe 0.485 0.430 0.969
2 Ag 0.265 0.809 0.529
3 Be 0.017 0.964 0.034
4 Be 0.734 0.297 0.468

# 16
A plane-wave DFT calculation with meta-GGA SCAN was carried out for a crystal of ReIr3 relaxed with PBEsol.

energy relative to the elements = -0.138 eV per atom
D(E_F) = 0.67 states/eV per atom
energy above the lowest structure with this stoichiometry = 18 meV/atom

Cell lengths 2.732, 4.363, 4.747 Å; angles 90.00, 90.00, 90.00 degrees
Atoms (fractional coordinates):
1 Ir 0.500 0.500 0.833
2 Ir 0.000 0.000 0.001
3 Ir 0.500 0.000 0.501
4 Re 0.000 0.500 0.331

# 17
A plane-wave DFT calculation with meta-GGA SCAN was carried out for a crystal of Ta3V7Si6 relaxed with PBEsol.

energy = -391.62 eV per cell
D(E_F) = 0.60 states/eV per atom

Cell lengths 4.844, 7.218, 7.218 Å; angles 120.00, 90.00, 90.00 degrees
Atoms (fractional coordinates):
1 V 0.500 0.736 0.000
2 V 0.500 0.264 0.264
3 V 0.254 0.667 0.333
4 V 0.500 0.000 0.736
5 V 0.746 0.667 0.333
6 V 0.254 0.333 0.667
7 V 0.746 0.333 0.667
8 Si 0.500 0.000 0.389
9 Si 0.000 0.591 0.000
10 Si 0.000 0.000 0.591
11 Si 0.000 0.409 0.409
12 Si 0.500 0.611 0.611
13 Si 0.500 0.389 0.000
14 Ta 0.000 0.229 0.000
15 Ta 0.000 0.771 0.771
16 Ta 0.000 0.000 0.229

# 18
A plane-wave DFT calculation with meta-GGA SCAN was carried out for a crystal of KTa3Cu relaxed with PBEsol.

energy relative to the elements = 3.252 eV per atom
D(E_F) = 1.14 states/eV per atom

Cell lengths 4.503, 4.503, 4.503 Å; angles 90.00, 90.00, 90.00 degrees
Atoms (fractional coordinates):
1 Ta 0.000 0.500 0.000
2 Ta 0.500 0.000 0.000
3 Ta 0.000 0.000 0.500
4 K 0.000 0.000 0.000
5 Cu 0.500 0.500 0.500

# 19
A plane-wave DFT calculation with meta-GGA SCAN was carried out for a crystal of SrGePbO4 relaxed with PBEsol.

energy = -628.41 eV per cell
D(E_F) = 0.00 states/eV per atom

Cell lengths 5.985, 7.257, 9.930 Å; angles 90.00, 90.00, 90.00 degrees
Atoms (fractional coordinates):
1 O 0.250 0.445 0.824
2 O 0.955 0.434 0.070
3 O 0.389 0.237 0.453
4 O 0.715 0.491 0.308
5 O 0.750 0.945 0.676
6 O 0.889 0.263 0.547
7 O 0.285 0.991 0.192
8 O 0.455 0.066 0.930
9 O 0.611 0.737 0.047
10 O 0.215 0.009 0.692
11 O 0.785 0.509 0.808
12 O 0.250 0.555 0.324
13 O 0.545 0.566 0.570
14 O 0.111 0.763 0.953
15 O 0.045 0.934 0.430
16 O 0.750 0.055 0.176
17 Sr 0.522 0.249 0.707
18 Sr 0.478 0.749 0.793
19 Sr 0.978 0.751 0.207
20 Sr 0.022 0.251 0.293
21 Pb 0.066 0.066 0.908
22 Pb 0.434 0.934 0.408
23 Pb 0.934 0.566 0.592
24 Pb 0.566 0.434 0.092
25 Ge 0.523 0.964 0.087
26 Ge 0.977 0.036 0.587
27 Ge 0.023 0.536 0.913
28 Ge 0.477 0.464 0.413

# 20
A plane-wave DFT calculation with meta-GGA SCAN was carried out for a crystal of Zn2SbAu2 relaxed with PBEsol.

D(E_F) = 0.30 states/eV per atom
energy above the lowest structure with this stoichiometry = 20 meV/atom

Cell lengths 2.954, 7.743, 7.743 Å; angles 90.00, 90.00, 90.00 degrees
Atoms (fractional coordinates):
1 Sb 0.000 0.000 0.000
2 Sb 0.000 0.500 0.500
3 Zn 0.500 0.129 0.629
4 Zn 0.500 0.871 0.371
5 Zn 0.500 0.629 0.871
6 Zn 0.500 0.371 0.129
7 Au 0.000 0.167 0.333
8 Au 0.000 0.833 0.667
9 Au 0.000 0.333 0.833
10 Au 0.000 0.667 0.167

# 21
A plane-wave DFT calculation with meta-GGA SCAN was carried out for a crystal of TaZnW2 relaxed with PBEsol.

energy relative to the elements = 0.182 eV per atom
D(E_F) = 0.65 states/eV per atom

Cell lengths 3.265, 4.388, 5.178 Å; angles 115.07, 108.38, 90.00 degrees
Atoms (fractional coordinates):
1 Zn 0.500 0.000 0.000
2 W 0.746 0.746 0.491
3 W 0.254 0.254 0.509
4 Ta 0.000 0.500 0.000

# 22
A plane-wave DFT calculation with meta-GGA SCAN was carried out for a crystal of LiYP2 relaxed with PBEsol.

energy relative to the elements = -0.721 eV per atom
D(E_F) = 0.87 states/eV per atom
energy above the lowest structure with this stoichiometry = 87 meV/atom

Cell lengths 4.658, 4.658, 4.658 Å; angles 60.00, 60.00, 60.00 degrees
Atoms (fractional coordinates):
1 Y 0.500 0.500 0.500
2 P 0.750 0.750 0.750
3 P 0.250 0.250 0.250
4 Li 0.000 0.000 0.000

# 23
A plane-wave DFT calculation with meta-GGA SCAN was carried out for a crystal of LiTlAu relaxed with PBEsol.

energy relative to the elements = -0.362 eV per atom
D(E_F) = 0.27 states/eV per atom

Cell lengths 3.509, 3.514, 5.136 Å; angles 110.01, 109.97, 90.00 degrees
Atoms (fractional coordinates):
1 Li 0.653 0.653 0.306
2 Tl 0.333 0.333 0.666
3 Au 0.014 0.014 0.028

# 24
A plane-wave DFT calculation with meta-GGA SCAN was carried out for a crystal of CaMgPb2 relaxed with PBEsol.

energy relative to the elements = -0.400 eV per atom
D(E_F) = 0.28 states/eV per atom

Cell lengths 3.740, 5.258, 6.223 Å; angles 101.97, 90.00, 110.83 degrees
Atoms (fractional coordinates):
1 Pb 0.757 0.513 0.780
2 Pb 0.243 0.487 0.220
3 Mg 0.500 0.000 0.000
4 Ca 0.000 0.000 0.500

# 25
A plane-wave DFT calculation with meta-GGA SCAN was carried out for a crystal of Li2V3TeO8 relaxed with PBEsol.

D(E_F) = 0.03 states/eV per atom
energy above the lowest structure with this stoichiometry = 0 meV/atom

Cell lengths 5.792, 5.792, 10.120 Å; angles 90.00, 90.00, 120.00 degrees
Atoms (fractional coordinates):
1 O 0.841 0.682 0.397
2 O 0.159 0.841 0.897
3 O 0.511 0.489 0.670
4 O 0.489 0.979 0.170
5 O 0.667 0.333 0.898
6 O 0.000 0.000 0.695
7 O 0.000 0.000 0.195
8 O 0.159 0.318 0.897
9 O 0.489 0.511 0.170
10 O 0.021 0.511 0.170
11 O 0.841 0.159 0.397
12 O 0.333 0.667 0.398
13 O 0.979 0.489 0.670
14 O 0.511 0.021 0.670
15 O 0.682 0.841 0.897
16 O 0.318 0.159 0.397
17 Te 0.667 0.333 0.497
18 Te 0.333 0.667 0.997
19 Li 0.000 0.000 0.010
20 Li 0.333 0.667 0.600
21 Li 0.000 0.000 0.510
22 Li 0.667 0.333 0.100
23 V 0.823 0.177 0.781
24 V 0.355 0.177 0.781
25 V 0.177 0.823 0.281
26 V 0.823 0.645 0.781
27 V 0.645 0.823 0.281
28 V 0.177 0.355 0.281

Calculated density (computed, g/cm3): 5.84, 4.55, 11.24, 7.24, 8.08, 11.27, 16.87, 3.43, 12.67, 9.79, 12.34, 8.29, 5.38, 1.36, 7.03, 22.38, 8.11, 11.74, 6.64, 12.12, 16.19, 3.67, 12.23, 7.13, 4.77